## KMgAgI4 (PBE-GGA)

Data for a geometry-optimized KMgAgI4 structure.

The structure in POSCAR format:
```
KMgAgI4
1.0
7.064 0.000 0.420
0.000 9.949 0.000
-2.269 0.000 8.972
I Mg K Ag
8 2 2 2
direct
0.525 0.750 0.545
0.985 0.961 0.263
0.475 0.250 0.455
0.985 0.539 0.263
0.015 0.461 0.737
0.404 0.750 0.047
0.015 0.039 0.737
0.596 0.250 0.953
0.243 0.750 0.299
0.757 0.250 0.701
0.855 0.750 0.919
0.145 0.250 0.081
0.716 0.750 0.304
0.284 0.250 0.696
```

Computed properties:
V   640.1 Å³/cell
Crystal system   monoclinic
Spin magnetization   0.00 μB/cell
Energy   -36.20 eV per cell